A PBEsol-optimized structure of KCaTl2. Source: Alexandria via LeMat-Bulk, functional SCAN.

final energy = -41.05 eV/atom
formation enthalpy at 0 K = -1.505 eV per formula unit

Cell lengths 3.8313, 3.8347, 8.5018 Å; angles 90.00, 90.00, 90.00 degrees
Last column: nearest neighbours and their distance in Å.
Sites, in units of the cell vectors:
1 K 0.5000 0.5000 0.0000  8 Tl 3.65, 4 K 3.83
2 Ca 0.5000 0.5000 0.5000  8 Tl 3.26
3 Tl 0.0000 0.0000 0.2870  4 Ca 3.26, 1 Tl 3.62, 4 K 3.65
4 Tl 0.0000 0.0000 0.7130  4 Ca 3.26, 1 Tl 3.62, 4 K 3.65